The following is a GGA-PBE calculation of a relaxed Sm4GaGeTe2 crystal, from Alexandria.

Cell lengths 7.381, 4.295, 7.801 Å; angles 90.00, 108.60, 90.00 degrees
Space group P2/m (No. 10)
Symmetry-distinct sites (fractional):
Sm (0.239, 0.000, 0.228) x2
Sm (0.253, 0.500, 0.766) x2
Ga (0.500, 0.000, 0.000) x1
Ge (0.000, 0.500, 0.000) x1
Te (0.000, 0.000, 0.500) x1
Te (0.500, 0.500, 0.500) x1

Results
Volume (Å³/cell): 234
Spin magnetization (μB/atom): 0.000
ΔE_f (raw) (eV per formula unit): -8.6
Uncorrected energy (eV per atom): -5.17

---

The following is a GGA-PBE calculation of a relaxed TlInGaBr3 crystal, from Alexandria.

Cell lengths 8.607, 4.362, 11.828 Å; angles 90.00, 98.21, 90.00 degrees
Space group P2_1/m (No. 11)
Symmetry-distinct sites (fractional):
Tl (0.198, 0.250, 0.137) x2
In (0.204, 0.750, 0.686) x2
Ga (0.394, 0.750, 0.459) x2
Br (0.090, 0.250, 0.847) x2
Br (0.170, 0.250, 0.417) x2
Br (0.474, 0.750, 0.249) x2

Results
Volume (Å³/cell): 439
Spin magnetization (μB/atom): 0.000
ΔE_f (raw) (eV per formula unit): -4.0
Uncorrected energy (eV per atom): -2.87

---

The following is a GGA-PBE calculation of a relaxed LiHo3H crystal, from Alexandria.

Cell lengths 4.852, 4.852, 4.852 Å; angles 90.00, 90.00, 90.00 degrees
Space group Pm-3m (No. 221)
Symmetry-distinct sites (fractional):
Li (0.000, 0.000, 0.000) x1
Ho (0.000, 0.500, 0.500) x3
H (0.500, 0.500, 0.500) x1

Results
Volume (Å³/cell): 114
Spin magnetization (μB/atom): 0.175
Uncorrected energy (eV per atom): -3.81